1.
A relaxed Li2WCl crystal. Source: Alexandria via LeMat-Bulk, functional GGA-PBEsol.

a = 2.7318 Å, b = 4.4863 Å, c = 5.1960 Å
α = 90.00°, β = 90.18°, γ = 90.00°
Atoms (fractional coordinates):
Li 0.0000 0.0000 0.0000
Li 0.0047 0.5000 0.7268
W 0.5027 0.5000 0.2220
Cl 0.5037 0.0000 0.3858

Calculated values
N(E_F) = 2.10 states/eV/f.u.
offset from the most stable computed form = 99 meV/atom
E = -4.69 eV per atom
symmetry = Pm
ΔE_f (raw) = 250 meV/atom

2.
A relaxed Li3YCl crystal. Source: Alexandria via LeMat-Bulk, functional GGA-PBEsol.

a = 5.9640 Å, b = 5.9640 Å, c = 5.9640 Å
α = 90.00°, β = 90.00°, γ = 90.00°
Atoms (fractional coordinates):
Li 0.0000 0.0000 0.5000
Li 0.0000 0.5000 0.0000
Li 0.5000 0.0000 0.0000
Y 0.0000 0.0000 0.0000
Cl 0.5000 0.5000 0.5000

Calculated values
N(E_F) = 2.20 states/eV/f.u.
E = -2.14 eV per atom
symmetry = Pm-3m
ΔE_f (raw) = 801 meV/atom

3.
A relaxed Li2YCl crystal. Source: Alexandria via LeMat-Bulk, functional GGA-PBEsol.

a = 6.5580 Å, b = 6.5580 Å, c = 6.5580 Å
α = 146.01°, β = 146.01°, γ = 48.84°
Atoms (fractional coordinates):
Li 0.2500 0.7500 0.5000
Li 0.7500 0.2500 0.5000
Y 0.0000 0.0000 0.0000
Cl 0.5000 0.5000 0.0000

Calculated values
N(E_F) = 2.69 states/eV/f.u.
offset from the most stable computed form = 211 meV/atom
E = -3.67 eV per atom
symmetry = I4/mmm
ΔE_f (raw) = -479 meV/atom